[1]
VASP calculation (GGA-PBE) on a relaxed structure of TaGa2BF.

Structure (POSCAR):
```
TaGa2BF
1.0
5.284 0.000 0.000
0.000 5.284 0.000
0.000 0.000 4.143
Ta Ga B F
1 2 1 1
direct
0.000 0.000 0.000
0.000 0.500 0.000
0.500 0.000 0.000
0.000 0.000 0.500
0.500 0.500 0.500
```

Properties
The value obtained for the energy relative to the elements, uncorrected is 59 kJ/mol of atoms. The value obtained for the raw total energy is -0.1719 hartree per atom.

=====

[2]
VASP calculation (GGA-PBE) on a relaxed structure of CeErMnOs.

Structure (POSCAR):
```
CeErMnOs
1.0
0.000 3.443 3.443
3.443 0.000 3.443
3.443 3.443 0.000
Ce Er Mn Os
1 1 1 1
direct
0.000 0.000 0.000
0.500 0.500 0.500
0.750 0.750 0.750
0.250 0.250 0.250
```

Properties
The value obtained for the raw total energy is -0.2843 hartree per atom. The value obtained for the formation enthalpy at 0 K is -0.0118 eV/atom.

=====

[3]
VASP calculation (GGA-PBE) on a relaxed structure of CePuMnFe.

Structure (POSCAR):
```
CePuMnFe
1.0
0.000 3.236 3.236
3.236 0.000 3.236
3.236 3.236 0.000
Ce Pu Mn Fe
1 1 1 1
direct
0.000 0.000 0.000
0.250 0.250 0.250
0.750 0.750 0.750
0.500 0.500 0.500
```

Properties
The value obtained for the raw total energy is -0.3390 hartree per atom. The value obtained for the formation enthalpy at 0 K is 0.2502 eV/atom.

=====

Number 1: DOS at the Fermi energy 4.54 states/eV/cell, total magnetization 0.0 μB/f.u.. Number 2: DOS at the Fermi energy 3.66 states/eV/cell, total magnetization 2.5 μB/f.u.. Number 3: DOS at the Fermi energy 11.62 states/eV/cell, total magnetization 8.7 μB/f.u..